Density functional theory data (GGA-PBE) for a relaxed Ba3CdTc crystal.

Calculated volume (Å³/cell): 206.3
Offset from the most stable computed form (eV per formula unit): 0.00
D(E_F) (states/eV/f.u.): 5.1
Symmetry: Pm-3m, No. 221

Unit cell a=5.909 b=5.909 c=5.909 alpha=90.00 beta=90.00 gamma=90.00
Fractional coordinates of all 5 atoms:
Ba  0.000  0.000  0.500
Ba  0.000  0.500  0.000
Ba  0.500  0.000  0.000
Cd  0.500  0.500  0.500
Tc  0.000  0.000  0.000